VASP calculation (PBE) on a relaxed ZrCrCl crystal.

ΔE to the lowest computed polymorph in meV per atom: 963
Size of the total moment in μB per formula unit: 3.99

Geometry as CIF:
```
data_ZrCrCl
_symmetry_space_group_name_H-M 'F -4 3 m'
_symmetry_Int_Tables_number 216
_symmetry_space_group_name_Hall 'F -4 2 3'
_cell_length_a 6.4392
_cell_length_b 6.4392
_cell_length_c 6.4392
_cell_angle_alpha 90.00
_cell_angle_beta 90.00
_cell_angle_gamma 90.00
loop_
_atom_site_label
_atom_site_fract_x
_atom_site_fract_y
_atom_site_fract_z
_atom_site_occupancy
Zr1 0.0000 0.0000 0.0000 1
Cr1 0.2500 0.2500 0.7500 1
Cl1 0.2500 0.2500 0.2500 1
```